Below is MgInGeO4 after structural relaxation, with properties calculated at the PBE level. Values from VASP.

Structure (Quantum ESPRESSO input):
```
&SYSTEM
  ibrav = 0, nat = 14, ntyp = 4
/
ATOMIC_SPECIES
Mg 24.30 Mg.upf
In 114.82 In.upf
Ge 72.64 Ge.upf
O 16.00 O.upf
ATOMIC_POSITIONS angstrom
Mg -3.1160 2.9360 3.3529
Mg -2.0578 0.1485 2.3505
In 0.0000 0.0000 0.0000
In -5.0115 1.0061 1.7832
Ge -5.5152 4.6000 1.1287
Ge -6.6241 2.9874 4.4425
O -9.1276 5.7006 4.1262
O -8.0560 2.9190 3.1211
O -4.0833 4.6684 2.4501
O -3.0117 1.8869 1.4450
O -6.0395 2.7220 0.8332
O -7.1039 5.5259 1.8415
O -5.0354 2.0615 3.7297
O -6.0998 4.8655 4.7380
CELL_PARAMETERS angstrom
-2.1164 5.5752 2.0049
-5.9073 1.7153 -1.1347
-4.1156 0.2969 4.7010
```

## Properties
V   12.41 Å³/atom
ΔE_f (raw)   -1.72 eV per atom
Electronic total energy   -81.6 eV/cell
Space-group type   Imma, No. 74


Below is BaPu2Rh after structural relaxation, with properties calculated at the PBE level. Values from VASP.

Structure (Quantum ESPRESSO input):
```
&SYSTEM
  ibrav = 0, nat = 4, ntyp = 3
/
ATOMIC_SPECIES
Rh 102.91 Rh.upf
Ba 137.33 Ba.upf
Pu 244.00 Pu.upf
ATOMIC_POSITIONS angstrom
Rh -1.1160 -0.7495 2.1328
Ba -2.0360 3.7604 3.2363
Pu -1.5376 7.5373 1.8441
Pu -0.3024 1.4825 0.3627
CELL_PARAMETERS angstrom
-3.3229 -0.9039 0.9238
1.0910 -0.5951 3.3419
-1.8400 9.0198 2.2069
```

## Properties
V   30.08 Å³/atom
Electronic total energy   -37.9 eV/cell
Formation energy from the elements   0.01 eV/atom
Space-group type   P4/mmm, No. 123
Polymorph energy (0 for the lowest one)   0.049 eV/f.u.


Below is DyHo2Pa after structural relaxation, with properties calculated at the PBE level. Values from VASP.

Structure (Quantum ESPRESSO input):
```
&SYSTEM
  ibrav = 0, nat = 4, ntyp = 3
/
ATOMIC_SPECIES
Dy 162.50 Dy.upf
Ho 164.93 Ho.upf
Pa 231.04 Pa.upf
ATOMIC_POSITIONS angstrom
Dy 3.4204 1.9748 0.0089
Ho 1.7102 0.9874 8.5193
Ho 1.7102 0.9874 2.9555
Pa 3.4204 1.9748 5.7184
CELL_PARAMETERS angstrom
3.4204 0.0000 0.0000
1.7102 2.9622 0.0000
1.7102 0.9874 11.4681
```

## Properties
V   29.05 Å³/atom
Electronic total energy   -22.8 eV/cell
Formation energy from the elements   0.11 eV/atom
Space-group type   R3m, No. 160
Polymorph energy (0 for the lowest one)   0.000 eV/f.u.


Below is GaBTe3 after structural relaxation, with properties calculated at the PBE level. Values from VASP.

Structure (Quantum ESPRESSO input):
```
&SYSTEM
  ibrav = 0, nat = 5, ntyp = 3
/
ATOMIC_SPECIES
B 10.81 B.upf
Te 127.60 Te.upf
Ga 69.72 Ga.upf
ATOMIC_POSITIONS angstrom
B 0.0000 0.0000 0.0000
Te -0.5745 -0.4770 -2.3579
Te 2.3353 -0.6928 -0.4289
Te -0.5778 -2.3259 0.6113
Ga 1.1830 -3.4957 -2.1755
CELL_PARAMETERS angstrom
-1.1556 -4.6519 1.2225
-1.1490 -0.9539 -4.7159
4.6706 -1.3857 -0.8577
```

## Properties
V   24.21 Å³/atom
ΔE_f (raw)   0.58 eV per atom
Electronic total energy   -16.2 eV/cell
Space-group type   Pm-3m, No. 221
Polymorph energy (0 for the lowest one)   0.000 eV/f.u.


Below is K2ZnOsN after structural relaxation, with properties calculated at the PBE level. Values from VASP.

Structure (Quantum ESPRESSO input):
```
&SYSTEM
  ibrav = 0, nat = 5, ntyp = 4
/
ATOMIC_SPECIES
Zn 65.41 Zn.upf
Os 190.23 Os.upf
K 39.10 K.upf
N 14.01 N.upf
ATOMIC_POSITIONS angstrom
Zn 0.0000 1.7537 0.0000
Os 3.0577 1.7537 3.0577
K 0.0000 0.0000 3.0577
K 3.0577 0.0000 0.0000
N 0.0000 0.0000 0.0000
CELL_PARAMETERS angstrom
6.1153 0.0000 0.0000
0.0000 3.5075 0.0000
0.0000 0.0000 6.1153
```

## Properties
V   26.23 Å³/atom
ΔE_f (raw)   1.14 eV per atom
Electronic total energy   -17.3 eV/cell
Space-group type   P4/mmm, No. 123


Below is MnBeTlBi2 after structural relaxation, with properties calculated at the PBE level. Values from VASP.

Structure (Quantum ESPRESSO input):
```
&SYSTEM
  ibrav = 0, nat = 5, ntyp = 4
/
ATOMIC_SPECIES
Be 9.01 Be.upf
Tl 204.38 Tl.upf
Mn 54.94 Mn.upf
Bi 208.98 Bi.upf
ATOMIC_POSITIONS angstrom
Be 2.8915 2.4699 2.8915
Tl 0.0000 0.0000 0.0000
Mn 0.0000 2.4699 0.0000
Bi 0.0000 0.0000 2.8915
Bi 2.8915 0.0000 0.0000
CELL_PARAMETERS angstrom
5.7829 0.0000 0.0000
0.0000 4.9398 0.0000
0.0000 0.0000 5.7829
```

## Properties
V   33.04 Å³/atom
Electronic total energy   -13.7 eV/cell
Formation energy from the elements   1.86 eV/atom
Space-group type   P4/mmm, No. 123